Record 1
A geometry-optimized Ho2TmTc structure. Source: OQMD via LeMat-Bulk, functional PBE.

Output
Magnetization   0.0 μB/cell
Space group   Cmcm (63)
DFT total energy   -6.125 eV per atom

```
Ho2TmTc
1.0
-1.0660 3.4891 1.2086
-6.4408 0.2520 -6.4083
-3.3037 -4.2176 3.1546
Ho Tc Tm
4 2 2
Direct
0.3570 0.0650 0.2139 Ho
0.6430 0.9350 0.7861 Ho
0.3570 0.4350 0.2139 Ho
0.6430 0.5650 0.7861 Ho
0.7389 0.2500 0.9777 Tc
0.2611 0.7500 0.0223 Tc
0.9284 0.7500 0.3569 Tm
0.0716 0.2500 0.6431 Tm
```

***

Record 2
A geometry-optimized LiTl2ZnF6 structure. Source: OQMD via LeMat-Bulk, functional PBE.

Output
Excess energy over the best structure of this formula in the dataset   0.1 kJ/mol of atoms
Space group   I4/m (87)
DFT total energy   -3.996 eV per atom

```
LiTl2ZnF6
1.0
-2.7681 2.7681 4.0774
2.7681 -2.7681 4.0774
2.7681 2.7681 -4.0774
F Tl Zn Li
6 2 1 1
Direct
0.2078 0.2990 0.5068 F
0.7488 0.7488 0.0000 F
0.7922 0.7010 0.4932 F
0.2990 0.7922 0.0912 F
0.7010 0.2078 0.9088 F
0.2512 0.2512 0.0000 F
0.7500 0.2500 0.5000 Tl
0.2500 0.7500 0.5000 Tl
0.0000 0.0000 0.0000 Zn
0.5000 0.5000 0.0000 Li
```

***

Record 3
A geometry-optimized TaInSb structure. Source: OQMD via LeMat-Bulk, functional PBE.

Output
Excess energy over the best structure of this formula in the dataset   0.0 kJ/mol of atoms
Magnetization   0.2 μB/cell
Space group   F-43m (216)
DFT total energy   -5.639 eV per atom

```
TaInSb
1.0
-1.8121 -1.3989 4.1890
-4.0482 -2.5269 0.1250
0.1026 -4.6130 1.2239
In Ta Sb
1 1 1
Direct
0.2500 0.2500 0.2500 In
0.0000 0.0000 0.0000 Ta
0.7500 0.7500 0.7500 Sb
```

***

Record 4
A geometry-optimized Na2Lu3Te4Cl3O12 structure. Source: OQMD via LeMat-Bulk, functional PBE.

Output
Magnetization   0.0 μB/cell
Space group   C2/c (15)
DFT total energy   -5.945 eV per atom

```
Na2Lu3Te4Cl3O12
1.0
11.7489 -2.7059 0.0000
11.7489 2.7059 0.0000
-11.2745 0.0000 11.7548
O Te Cl Na Lu
24 8 6 4 6
Direct
0.1135 0.0339 0.8879 O
0.6115 0.5280 0.5882 O
0.3987 0.4310 0.0727 O
0.9953 0.1391 0.7146 O
0.3617 0.4956 0.7455 O
0.5044 0.6383 0.7545 O
0.8865 0.9661 0.1121 O
0.9004 0.9335 0.4250 O
0.6013 0.5690 0.9273 O
0.5280 0.6115 0.0882 O
0.8609 0.0047 0.7854 O
0.6383 0.5044 0.2545 O
0.5690 0.6013 0.4273 O
0.3885 0.4720 0.4118 O
0.4310 0.3987 0.5727 O
0.4956 0.3617 0.2455 O
0.0339 0.1135 0.3879 O
0.0047 0.8609 0.2854 O
0.9335 0.9004 0.9250 O
0.9661 0.8865 0.6121 O
0.0665 0.0996 0.0750 O
0.0996 0.0665 0.5750 O
0.1391 0.9953 0.2146 O
0.4720 0.3885 0.9118 O
0.1590 0.5676 0.5957 Te
0.8410 0.4324 0.4043 Te
0.4324 0.8410 0.9043 Te
0.5676 0.1590 0.0957 Te
0.0758 0.6558 0.3002 Te
0.3442 0.9242 0.1998 Te
0.9242 0.3442 0.6998 Te
0.6558 0.0758 0.8002 Te
0.0026 0.4970 0.6686 Cl
0.0000 0.5000 0.0000 Cl
0.5000 0.0000 0.5000 Cl
0.9974 0.5030 0.3314 Cl
0.5030 0.9974 0.8314 Cl
0.4970 0.0026 0.1686 Cl
0.0660 0.6030 0.9241 Na
0.6030 0.0660 0.4241 Na
0.3970 0.9340 0.5759 Na
0.9340 0.3970 0.0759 Na
0.2465 0.7537 0.9166 Lu
0.2541 0.7459 0.2500 Lu
0.7535 0.2463 0.0834 Lu
0.2463 0.7535 0.5834 Lu
0.7459 0.2541 0.7500 Lu
0.7537 0.2465 0.4166 Lu
```

***

- Which formula does entry 1 have?
  Ho2TmTc

***

- Among the records above, which one has the highest DFT total energy?
  LiTl2ZnF6